Compound: U2AlB2Ir5
Source: Alexandria via LeMat-Bulk
Functional: PBE
Structure: relaxed

```
20
Lattice="-1.606 -2.781 0.928 8.280 -4.325 1.369 0.061 2.956 8.966" Properties=species:S:1:pos:R:3 pbc="T T T"
B 1.042 1.312 5.737
Ir 6.921 -4.773 3.693
U 2.710 1.038 7.803
B 7.299 -2.681 4.599
Ir 3.337 -3.553 1.148
Ir 1.007 -2.130 1.379
U 6.841 -1.545 7.210
Ir -0.772 0.087 4.947
Ir 1.567 -0.929 5.949
Ir 3.950 -1.728 7.680
Ir 2.785 -2.422 3.582
U 1.500 0.176 3.125
Ir 5.169 -3.221 5.314
Al 0.000 0.000 0.000
Al 4.171 -0.685 5.168
Ir -0.186 0.624 7.569
B 3.143 -1.279 1.606
B 5.198 -0.090 8.729
U 5.631 -2.407 2.532
Ir 5.729 -2.020 9.884
```

Properties
Crystal system: tetragonal
Size of the total moment, μB/atom: 0.35
Calculated total energy, eV per cell: -178.1
Symmetry: P4/mbm

=====

Compound: AlBIrW2
Source: Alexandria via LeMat-Bulk
Functional: PBE
Structure: relaxed

```
5
Lattice="4.169 0.000 0.000 0.000 4.082 0.000 0.000 0.000 4.169" Properties=species:S:1:pos:R:3 pbc="T T T"
Ir 2.084 2.041 2.084
W 2.084 0.000 0.000
B 0.000 0.000 0.000
Al 0.000 2.041 0.000
W 0.000 0.000 2.084
```

Properties
Crystal system: tetragonal
Size of the total moment, μB/atom: 0.00
Calculated total energy, eV per cell: -44.0
Symmetry: P4/mmm

=====

Compound: Y2AlB2Ir5
Source: Alexandria via LeMat-Bulk
Functional: PBE
Structure: relaxed

```
20
Lattice="-2.779 1.232 -0.766 -1.801 -7.589 -5.671 -4.082 -4.588 7.436" Properties=species:S:1:pos:R:3 pbc="T T T"
Ir -2.290 -3.179 -3.218
Al 0.000 0.000 0.000
Ir -4.213 -4.121 2.247
Al -2.942 -6.089 0.883
Ir -3.963 -7.464 -4.040
Y -3.939 -6.221 4.287
Ir -3.430 -1.678 3.335
Y -1.636 -2.827 1.392
B -3.127 -8.402 -2.168
Y -4.247 -9.351 0.373
B -2.757 -3.776 3.933
Ir -4.449 -6.825 -1.247
Ir -4.699 -3.481 5.039
Ir -5.348 -6.993 1.745
B -1.178 -3.429 -1.241
B -4.705 -8.748 3.006
Y -1.945 -5.956 -2.522
Ir -6.601 -9.587 2.121
Ir -2.061 -1.358 -1.121
Ir -3.314 -3.953 -0.745
```

Properties
Crystal system: tetragonal
Size of the total moment, μB/atom: 0.00
Calculated total energy, eV per cell: -164.4
Symmetry: P4/mbm

=====

Compound: AlZn2B2Ir5
Source: Alexandria via LeMat-Bulk
Functional: PBE
Structure: relaxed

```
20
Lattice="2.899 0.000 0.000 0.000 9.446 0.000 0.000 0.000 9.446" Properties=species:S:1:pos:R:3 pbc="T T T"
Zn 0.000 1.670 3.053
Zn 0.000 7.776 6.393
B 0.000 3.520 1.202
Ir 1.449 2.716 5.413
B 0.000 8.243 3.520
Zn 0.000 6.393 1.670
Ir 1.449 2.006 0.690
B 0.000 1.202 5.925
Ir 1.449 4.723 0.000
Ir 1.449 8.756 2.006
B 0.000 5.925 8.243
Ir 1.449 0.000 4.723
Al 0.000 0.000 0.000
Ir 1.449 0.690 7.439
Ir 1.449 6.729 4.033
Ir 1.449 4.033 2.716
Ir 1.449 7.439 8.756
Ir 1.449 5.413 6.729
Al 0.000 4.723 4.723
Zn 0.000 3.053 7.776
```

Properties
Crystal system: tetragonal
Size of the total moment, μB/atom: 0.00
Calculated total energy, eV per cell: -135.0
Symmetry: P4/mbm

=====

Compound: Zr2AlB2Ir5
Source: Alexandria via LeMat-Bulk
Functional: PBE
Structure: relaxed

```
20
Lattice="-1.075 2.626 1.569 -6.120 -5.259 4.608 6.277 -1.434 6.700" Properties=species:S:1:pos:R:3 pbc="T T T"
Ir 0.471 -2.710 8.207
Al 0.078 -3.347 5.654
B -3.001 -5.155 6.571
Ir 0.504 -4.144 10.630
Zr 3.189 -2.883 7.009
Ir -1.422 0.077 2.247
Zr -0.795 -5.301 8.327
B 3.158 -1.538 4.737
Zr 0.951 -1.392 2.981
Ir -2.219 -3.070 6.967
Ir 3.957 -0.178 6.358
Al 0.000 0.000 0.000
B -1.539 -2.160 2.561
Ir 1.300 -0.998 5.910
Ir -4.875 -3.890 6.519
B 1.696 -4.533 8.748
Ir -3.598 -1.317 3.088
Ir -1.389 -1.358 4.670
Zr -3.033 -3.810 4.299
Ir 2.601 0.596 4.135
```

Properties
Crystal system: tetragonal
Size of the total moment, μB/atom: 0.00
Calculated total energy, eV per cell: -173.2
Symmetry: P4/mbm

=====

Compound: K2AlB
Source: Alexandria via LeMat-Bulk
Functional: PBE
Structure: relaxed

```
8
Lattice="-11.797 2.518 -3.141 -3.395 -11.449 3.573 -7.946 -3.780 2.080" Properties=species:S:1:pos:R:3 pbc="T T T"
K -8.112 -7.246 1.687
K -12.385 -8.638 2.488
Al -13.670 -2.863 -0.423
B -9.469 -9.847 2.934
K -7.255 -1.342 -0.323
K -18.525 -8.195 1.172
B -7.596 -4.465 0.216
Al 0.000 0.000 0.000
```

Properties
Polymorph energy (0 for the lowest one), eV/atom: 0.000
Crystal system: tetragonal
Size of the total moment, μB/atom: 0.00
Symmetry: I-42d

=====

Compound: K2AlB
Source: Alexandria via LeMat-Bulk
Functional: PBE
Structure: relaxed

```
4
Lattice="-2.709 3.286 3.538 -4.820 2.286 -1.481 -4.716 -1.730 2.328" Properties=species:S:1:pos:R:3 pbc="T T T"
B 0.000 0.000 0.000
Al -6.122 1.921 2.193
K -3.061 0.960 1.096
K -9.183 2.881 3.289
```

Properties
Polymorph energy (0 for the lowest one), eV/atom: 0.811
Crystal system: cubic
Size of the total moment, μB/atom: 0.00
Symmetry: Fm-3m

=====

Compound: K3AlB8O15
Source: Alexandria via LeMat-Bulk
Functional: PBE
Structure: relaxed

```
108
Lattice="-10.161 0.230 2.174 -0.637 -11.443 -1.768 2.703 -2.079 12.480" Properties=species:S:1:pos:R:3 pbc="T T T"
B -6.409 -7.521 8.990
O 0.485 -3.577 10.807
O 0.815 -10.414 10.617
O -5.725 -1.480 11.452
O -5.556 -7.523 10.071
O -1.437 -6.853 4.670
O -6.474 -3.619 10.652
B -1.686 -5.771 3.896
B -2.278 -2.078 6.497
B -7.132 -2.983 9.592
O -1.280 -2.065 7.440
B -2.325 -10.448 1.293
O -1.453 -8.703 6.849
K -6.887 -6.277 12.409
B -0.082 -2.283 10.836
O -7.183 -11.425 3.067
O 0.788 -5.693 9.755
O -0.519 -3.994 8.682
O -6.055 -2.616 2.027
B -5.208 -8.770 10.823
B -3.682 -3.404 7.996
O -2.758 -3.235 9.004
O -7.891 -3.757 4.230
B -6.714 -10.507 4.153
B -5.095 -3.464 1.586
O -2.256 -5.823 12.697
O -6.814 -11.227 5.446
B -1.115 -6.501 12.215
O -7.727 -0.331 2.759
O 0.839 -8.052 10.248
O -7.114 -8.694 8.638
K -3.528 -5.603 10.260
K -8.042 -1.722 6.712
O -2.539 -5.769 2.815
B -4.413 -9.888 4.890
O -0.772 -11.671 3.288
B 0.232 -4.438 9.732
O -1.621 -9.673 2.234
O -0.912 -1.867 9.819
O -0.981 -4.598 4.248
K -3.353 -11.214 8.482
O -1.103 -6.689 10.864
B -0.962 -10.309 3.294
O -4.211 -4.028 2.480
O -8.909 -2.878 2.269
B -1.122 -3.431 3.487
B 0.502 -9.324 9.847
B -6.980 -6.791 0.672
O -5.337 -10.058 3.882
O -2.923 -9.783 0.281
K -0.053 -11.570 6.174
K -4.741 -2.078 4.404
O -8.580 -9.716 2.080
K -1.028 -1.576 0.798
O -0.703 -7.187 8.550
O -0.546 -9.542 4.351
B -1.381 -2.785 8.733
B -6.973 -9.861 9.399
O -8.883 -7.599 3.131
O -4.736 -4.236 8.177
Al -6.331 -4.786 7.734
B -8.326 -8.854 3.154
O -0.203 -9.536 8.656
O -7.576 -9.298 4.204
O -4.601 -10.551 6.113
K -4.567 -7.689 2.626
Al -0.521 -11.504 11.090
B -8.597 -3.968 3.039
O -2.844 -4.826 0.613
O -5.872 -11.797 7.620
O -6.197 -9.838 10.522
B -5.817 -11.214 6.389
O -7.549 -3.751 8.535
B -0.804 -8.441 8.004
K -8.263 -7.895 6.278
B -2.887 -4.522 2.064
O -6.642 -4.589 6.037
O -5.172 -3.509 12.605
O -3.493 -2.741 6.773
O -0.368 -12.961 10.127
B -8.056 -6.371 3.031
B -8.013 -11.009 2.050
B -6.971 -12.206 8.530
K -7.066 -11.717 12.088
O -5.251 -8.467 12.274
O -0.433 -2.309 3.877
O -2.223 -1.495 5.266
Al -7.573 -1.788 1.796
O -1.898 -3.454 2.365
B -0.039 -6.921 9.855
B -3.000 -9.828 11.300
K 0.168 -5.397 6.608
K -1.208 -7.015 0.478
O -5.839 -7.469 0.189
B -7.291 -4.851 4.882
O -2.040 -10.676 10.859
O -7.322 -1.621 9.598
O -2.370 -11.813 1.434
B -5.770 -2.844 11.593
O -6.992 -6.604 2.022
O -8.933 -5.241 2.638
O -7.392 -6.106 4.336
Al -1.764 -8.506 5.153
O -3.359 -9.056 4.709
O -6.658 -6.439 8.216
O -3.884 -9.264 10.406
B -1.124 -1.086 4.356
O -7.662 -10.983 9.009
```

Properties
Crystal system: monoclinic
Size of the total moment, μB/atom: 0.00
Symmetry: P2_1/c
Formation energy (no corrections), meV per atom: -2489

=====

Compound: K2AlB2O6
Source: Alexandria via LeMat-Bulk
Functional: PBE
Structure: relaxed

```
11
Lattice="5.085 0.000 0.000 -2.542 4.400 -0.175 0.000 -2.697 5.999" Properties=species:S:1:pos:R:3 pbc="T T T"
O 1.347 2.321 3.990
K 0.000 0.209 5.176
O 1.195 -0.618 1.834
O -1.347 2.321 3.990
Al 2.542 -1.349 2.999
K 2.542 1.494 0.648
O 3.890 -0.618 1.834
O 0.000 1.450 1.755
O 2.542 0.253 4.069
B 2.542 1.629 3.966
B 0.000 0.074 1.857
```

Properties
Crystal system: trigonal
Size of the total moment, μB/atom: 0.05
Symmetry: R-3m
Formation energy (no corrections), meV per atom: -2277

=====

Compound: K2Al2B2O7
Source: Alexandria via LeMat-Bulk
Functional: PBE
Structure: relaxed

```
39
Lattice="8.657 0.000 0.000 -4.328 7.497 0.000 0.000 0.000 8.611" Properties=species:S:1:pos:R:3 pbc="T T T"
O 5.548 3.634 6.427
O 1.220 3.863 2.184
O 2.723 7.066 1.952
O 0.373 6.622 2.184
O 2.728 2.036 2.490
Al 4.328 2.499 1.881
Al 0.000 4.998 1.591
O 2.735 2.988 6.427
O 4.758 5.891 6.659
O 7.051 0.431 6.659
Al 0.000 4.998 6.730
K 3.094 0.000 4.306
Al 4.328 2.499 7.021
O -1.600 5.460 6.122
O 1.176 1.175 6.659
K -1.340 2.321 0.000
B -2.874 4.995 6.406
B 1.435 7.488 6.406
Al 0.000 0.000 2.582
O 5.529 1.344 2.490
B 1.454 2.501 2.205
O 0.399 3.381 6.122
O 4.728 4.116 2.490
B 5.768 4.987 2.205
Al 0.000 0.000 6.029
O 4.701 0.875 6.427
O 0.430 1.606 1.952
O -3.152 6.322 1.952
K 2.781 4.817 4.306
K 2.989 5.176 0.000
O 4.328 2.499 0.146
B 1.439 2.510 6.406
B 5.763 0.008 2.205
O 0.000 0.000 4.306
O 0.000 4.998 8.466
K -1.547 2.680 4.306
O 1.201 6.152 6.122
K 2.679 0.000 0.000
O -1.593 4.509 2.184
```

Properties
Crystal system: trigonal
Size of the total moment, μB/atom: 0.00
Symmetry: P321
Formation energy (no corrections), meV per atom: -2620

=====

Compound: K2TaAlB
Source: Alexandria via LeMat-Bulk
Functional: PBE
Structure: relaxed

```
5
Lattice="-4.851 -4.297 0.600 3.433 -3.730 1.045 -0.435 1.377 6.346" Properties=species:S:1:pos:R:3 pbc="T T T"
K -2.425 -2.148 0.300
B -0.927 -3.325 3.995
Al 1.716 -1.865 0.522
K -0.218 0.689 3.173
Ta 0.000 0.000 0.000
```

Properties
Crystal system: tetragonal
Size of the total moment, μB/atom: 0.76
Calculated total energy, eV per cell: -13.5
Symmetry: P4/mmm

=====

Compound: KAlBTe2
Source: Alexandria via LeMat-Bulk
Functional: PBE
Structure: relaxed

```
5
Lattice="-4.785 3.773 0.547 -2.475 -2.585 -3.817 -2.482 -3.749 4.149" Properties=species:S:1:pos:R:3 pbc="T T T"
Te -1.241 -1.875 2.074
B -1.237 -1.293 -1.908
Te -2.393 1.886 0.274
Al -4.871 -1.281 0.440
K 0.000 0.000 0.000
```

Properties
Crystal system: tetragonal
Size of the total moment, μB/atom: 0.13
Symmetry: P4/mmm
Formation energy (no corrections), meV per atom: 1553